# 1
{
  "formula": "K2CaHg",
  "functional": "PBE",
  "state": "relaxed",
  "lattice": [[-0.1786, -5.3891, 2.6486], [1.1595, -1.8905, -3.7683], [7.2817, -0.5671, -0.6628]],
  "species": ["Ca", "Hg", "K", "K"],
  "frac_coords": [[0.5000, 0.2500, 0.2500], [0.5000, 0.7500, 0.7500], [0.0000, 0.9142, 0.9743], [0.0000, 0.5858, 0.5257]],
  "volume_a3_per_atom": 44.65,
  "spacegroup": "No. 10",
  "formation_enthalpy_0k_ev_per_atom": 0.02,
  "dft_energy_ev_per_atom": -1.102
}

***

# 2
{
  "formula": "K2CaHg",
  "functional": "PBE",
  "state": "relaxed",
  "lattice": [[-9.8793, -3.1532, 3.9699], [4.1970, -9.9643, 2.5301], [-2.0171, -5.4718, 6.1639]],
  "species": ["K", "K", "K", "K", "Ca", "Ca", "Hg", "Hg"],
  "frac_coords": [[0.7120, 0.1250, 0.2500], [0.0380, 0.6250, 0.2500], [0.3750, 0.2880, 0.7500], [0.8750, 0.9620, 0.7500], [0.5000, 0.5000, 0.0000], [0.2500, 0.7500, 0.5000], [0.0000, 0.0000, 0.0000], [0.7500, 0.2500, 0.5000]],
  "volume_a3_per_atom": 49.59,
  "spacegroup": "No. 122",
  "formation_enthalpy_0k_ev_per_atom": 0.02,
  "dft_energy_ev_per_atom": -1.102
}

***

# 3
{
  "formula": "K2CaHg",
  "functional": "PBE",
  "state": "relaxed",
  "lattice": [[10.4543, -0.0019, -0.0680], [9.6423, 4.0398, -0.0680], [1.1434, 0.2297, 4.6605]],
  "species": ["Ca", "Hg", "K", "K"],
  "frac_coords": [[0.2500, 0.2500, 0.2500], [0.7500, 0.7500, 0.7500], [0.0905, 0.0905, 0.9094], [0.4095, 0.4095, 0.5906]],
  "volume_a3_per_atom": 49.31,
  "spacegroup": "No. 12",
  "formation_enthalpy_0k_ev_per_atom": -0.12,
  "dft_energy_ev_per_atom": -1.249
}

***

# 4
{
  "formula": "K2CaHg",
  "functional": "PBE",
  "state": "relaxed",
  "lattice": [[-1.2640, -2.4069, 4.1992], [4.1942, -3.1311, -0.5322], [3.4536, 4.0546, 3.3635]],
  "species": ["Ca", "Hg", "K", "K"],
  "frac_coords": [[0.5000, 0.0000, 0.5000], [0.0000, 0.5000, 0.5000], [0.0000, 0.0000, 0.0000], [0.5000, 0.5000, 0.0000]],
  "volume_a3_per_atom": 41.45,
  "spacegroup": "No. 47",
  "formation_enthalpy_0k_ev_per_atom": 0.00,
  "dft_energy_ev_per_atom": -1.120
}

***

# 5
{
  "formula": "KCa2Hg",
  "functional": "PBE",
  "state": "relaxed",
  "lattice": [[-5.5732, 0.9054, 7.4411], [-2.9224, -1.6255, 8.7217], [2.0875, 3.6221, 2.8375]],
  "species": ["Ca", "Ca", "Hg", "K"],
  "frac_coords": [[0.9991, 0.9991, 0.0009], [0.8422, 0.8422, 0.6577], [0.4840, 0.4840, 0.5160], [0.1746, 0.1746, 0.3253]],
  "volume_a3_per_atom": 43.06,
  "spacegroup": "No. 44",
  "formation_enthalpy_0k_ev_per_atom": -0.10,
  "dft_energy_ev_per_atom": -1.455
}

***

# 6
{
  "formula": "KCaHg17",
  "functional": "PBE",
  "state": "relaxed",
  "lattice": [[8.2442, 0.7106, 1.7676], [1.5713, 8.1242, 1.7676], [0.7895, 0.7106, 8.3945]],
  "species": ["K", "Ca", "Hg", "Hg", "Hg", "Hg", "Hg", "Hg", "Hg", "Hg", "Hg", "Hg", "Hg", "Hg", "Hg", "Hg", "Hg", "Hg", "Hg"],
  "frac_coords": [[0.6379, 0.6379, 0.6379], [0.3256, 0.3256, 0.3256], [0.3120, 0.0062, 0.6927], [0.6927, 0.3120, 0.0062], [0.0062, 0.6927, 0.3120], [0.3120, 0.6927, 0.0062], [0.0062, 0.3120, 0.6927], [0.6927, 0.0062, 0.3120], [0.3443, 0.9232, 0.3443], [0.3443, 0.3443, 0.9232], [0.9232, 0.3443, 0.3443], [0.5869, 0.2370, 0.5869], [0.5869, 0.5869, 0.2370], [0.2370, 0.5869, 0.5869], [0.9388, 0.5722, 0.9388], [0.9388, 0.9388, 0.5722], [0.5722, 0.9388, 0.9388], [0.9381, 0.9381, 0.9381], [0.1043, 0.1043, 0.1043]],
  "volume_a3_per_atom": 28.11,
  "spacegroup": "No. 160",
  "formation_enthalpy_0k_ev_per_atom": -0.12,
  "dft_energy_ev_per_atom": -0.556
}

***

# 7
{
  "formula": "KCa3Hg",
  "functional": "PBE",
  "state": "relaxed",
  "lattice": [[6.0726, 0.0000, 0.0000], [0.0000, 6.0726, 0.0000], [0.0000, 0.0000, 6.0726]],
  "species": ["K", "Ca", "Ca", "Ca", "Hg"],
  "frac_coords": [[0.5000, 0.5000, 0.5000], [0.0000, 0.5000, 0.0000], [0.0000, 0.0000, 0.5000], [0.5000, 0.0000, 0.0000], [0.0000, 0.0000, 0.0000]],
  "volume_a3_per_atom": 44.79,
  "polymorph_energy_mev_per_atom": 0,
  "spacegroup": "No. 221",
  "formation_enthalpy_0k_ev_per_atom": -0.11,
  "dft_energy_ev_per_atom": -1.589
}

***

# 8
{
  "formula": "K2CaHg",
  "functional": "PBE",
  "state": "relaxed",
  "lattice": [[-12.4636, -1.7239, 1.8624], [-11.0074, -3.5132, 5.3175], [-11.5942, 0.5979, 5.1960]],
  "species": ["Ca", "Hg", "K", "K"],
  "frac_coords": [[0.2500, 0.2500, 0.2500], [0.7500, 0.7500, 0.7500], [0.0128, 0.0128, 0.0128], [0.4872, 0.4872, 0.4872]],
  "volume_a3_per_atom": 46.68,
  "spacegroup": "No. 166",
  "formation_enthalpy_0k_ev_per_atom": 0.01,
  "dft_energy_ev_per_atom": -1.110
}

***

# 9
{
  "formula": "K2CaHg",
  "functional": "PBE",
  "state": "relaxed",
  "lattice": [[-5.3424, 4.5012, -0.2046], [-1.5014, -6.7143, 1.2282], [0.3479, 0.6437, 4.1063]],
  "species": ["Ca", "Hg", "K", "K"],
  "frac_coords": [[0.5000, 0.0000, 0.5000], [0.0000, 0.5000, 0.5000], [0.0000, 0.0000, 0.0000], [0.5000, 0.5000, 0.0000]],
  "volume_a3_per_atom": 45.23,
  "spacegroup": "No. 12",
  "formation_enthalpy_0k_ev_per_atom": 0.05,
  "dft_energy_ev_per_atom": -1.072
}

***

# 10
{
  "formula": "K3CaHg",
  "functional": "PBE",
  "state": "relaxed",
  "lattice": [[-1.0168, 5.9922, -2.6614], [-0.0245, -2.6966, -6.0622], [-6.5565, -0.9191, 0.4354]],
  "species": ["K", "K", "K", "Ca", "Hg"],
  "frac_coords": [[0.0000, 0.5000, 0.0000], [0.0000, 0.0000, 0.5000], [0.5000, 0.0000, 0.0000], [0.5000, 0.5000, 0.5000], [0.0000, 0.0000, 0.0000]],
  "volume_a3_per_atom": 58.42,
  "polymorph_energy_mev_per_atom": 0,
  "spacegroup": "No. 221",
  "formation_enthalpy_0k_ev_per_atom": 0.10,
  "dft_energy_ev_per_atom": -1.018
}

***

# 11
{
  "formula": "KCa2Hg",
  "functional": "PBE",
  "state": "relaxed",
  "lattice": [[-1.2147, -0.9245, 5.0573], [0.0201, -5.1974, -0.9453], [5.1798, -0.1997, 1.2076]],
  "species": ["Ca", "Ca", "Hg", "K"],
  "frac_coords": [[0.0000, 0.0000, 0.0000], [0.5000, 0.5000, 0.0000], [0.5000, 0.0000, 0.5000], [0.0000, 0.5000, 0.5000]],
  "volume_a3_per_atom": 37.13,
  "spacegroup": "No. 123",
  "formation_enthalpy_0k_ev_per_atom": 0.00,
  "dft_energy_ev_per_atom": -1.349
}

***

# 12
{
  "formula": "K2CaHg2",
  "functional": "PBE",
  "state": "relaxed",
  "lattice": [[-7.1576, -2.1344, -6.4610], [6.6906, -0.4996, -7.2469], [0.4799, -3.7284, 0.7001]],
  "species": ["K", "K", "K", "K", "Ca", "Ca", "Hg", "Hg", "Hg", "Hg"],
  "frac_coords": [[0.3728, 0.8728, 0.0000], [0.8728, 0.6272, 0.0000], [0.6272, 0.1272, 0.0000], [0.1272, 0.3728, 0.0000], [0.0000, 0.0000, 0.0000], [0.5000, 0.5000, 0.0000], [0.1739, 0.6739, 0.5000], [0.6739, 0.8261, 0.5000], [0.8261, 0.3261, 0.5000], [0.3261, 0.1739, 0.5000]],
  "volume_a3_per_atom": 37.29,
  "polymorph_energy_mev_per_atom": 157,
  "spacegroup": "No. 127",
  "formation_enthalpy_0k_ev_per_atom": -0.05,
  "dft_energy_ev_per_atom": -1.011
}

***

# 13
{
  "formula": "KCa2Hg",
  "functional": "PBE",
  "state": "relaxed",
  "lattice": [[-5.3347, 1.7488, -4.7652], [-6.4335, -1.6311, -3.1897], [-5.2374, 2.8918, 2.5507]],
  "species": ["Ca", "Ca", "Hg", "K"],
  "frac_coords": [[0.0501, 0.0501, 0.9502], [0.4499, 0.4499, 0.5498], [0.7500, 0.7500, 0.7500], [0.2500, 0.2500, 0.2500]],
  "volume_a3_per_atom": 40.07,
  "spacegroup": "No. 12",
  "formation_enthalpy_0k_ev_per_atom": -0.12,
  "dft_energy_ev_per_atom": -1.474
}

***

# 14
{
  "formula": "K2CaHg",
  "functional": "PBE",
  "state": "relaxed",
  "lattice": [[4.0390, 0.0000, 0.0000], [0.0000, 4.0386, 0.0000], [0.0000, 0.0000, 11.1906]],
  "species": ["Ca", "Hg", "K", "K"],
  "frac_coords": [[0.5000, 0.5000, 0.2500], [0.5000, 0.5000, 0.7500], [0.0000, 0.0000, 0.9554], [0.0000, 0.0000, 0.5446]],
  "volume_a3_per_atom": 45.64,
  "spacegroup": "No. 123",
  "formation_enthalpy_0k_ev_per_atom": -0.01,
  "dft_energy_ev_per_atom": -1.131
}

***

# 15
{
  "formula": "KCa2Hg2",
  "functional": "PBE",
  "state": "relaxed",
  "lattice": [[5.8184, 0.0000, 0.0000], [0.0000, 5.8184, 0.0000], [2.9092, 2.9092, 5.9131]],
  "species": ["K", "Ca", "Ca", "Hg", "Hg"],
  "frac_coords": [[0.0000, 0.0000, 0.0000], [0.3406, 0.3406, 0.3187], [0.6594, 0.6594, 0.6813], [0.7500, 0.2500, 0.5000], [0.2500, 0.7500, 0.5000]],
  "volume_a3_per_atom": 40.04,
  "polymorph_energy_mev_per_atom": 161,
  "spacegroup": "No. 139",
  "formation_enthalpy_0k_ev_per_atom": -0.17,
  "dft_energy_ev_per_atom": -1.310
}

***

# 16
{
  "formula": "KCa2Hg",
  "functional": "PBE",
  "state": "relaxed",
  "lattice": [[-1.4923, 0.1796, 3.8508], [0.4592, -3.2407, 2.5249], [9.6380, 3.3118, 5.6425]],
  "species": ["K", "Ca", "Ca", "Hg"],
  "frac_coords": [[0.5012, 0.5012, 0.4998], [0.0571, 0.0571, 0.8212], [0.2755, 0.2755, 0.1789], [0.6662, 0.6662, 0.0002]],
  "volume_a3_per_atom": 42.45,
  "spacegroup": "No. 8",
  "formation_enthalpy_0k_ev_per_atom": -0.16,
  "dft_energy_ev_per_atom": -1.510
}

***

# 17
{
  "formula": "K2CaHg",
  "functional": "PBE",
  "state": "relaxed",
  "lattice": [[7.7749, -0.0430, -0.0230], [3.8483, 6.7558, 0.0230], [-4.9619, -4.8276, 3.5390]],
  "species": ["Ca", "Hg", "K", "K"],
  "frac_coords": [[0.4398, 0.4398, 0.0000], [0.2666, 0.7666, 0.5000], [0.0498, 0.0498, 0.0000], [0.7439, 0.2439, 0.5000]],
  "volume_a3_per_atom": 46.75,
  "spacegroup": "No. 44",
  "formation_enthalpy_0k_ev_per_atom": -0.06,
  "dft_energy_ev_per_atom": -1.180
}

***

# 18
{
  "formula": "KNa2CaHg",
  "functional": "PBE",
  "state": "relaxed",
  "lattice": [[6.0275, 0.0000, 0.0000], [0.0000, 6.0275, 0.0000], [0.0000, 0.0000, 6.0017]],
  "species": ["K", "Na", "Na", "Ca", "Hg"],
  "frac_coords": [[0.5000, 0.5000, 0.5000], [0.0000, 0.5000, 0.0000], [0.5000, 0.0000, 0.0000], [0.0000, 0.0000, 0.5000], [0.0000, 0.0000, 0.0000]],
  "volume_a3_per_atom": 43.61,
  "spacegroup": "No. 123",
  "formation_enthalpy_0k_ev_per_atom": -0.05,
  "dft_energy_ev_per_atom": -1.263
}

***

# 19
{
  "formula": "KCaHgO2",
  "functional": "PBE",
  "state": "relaxed",
  "lattice": [[-1.5810, -2.1207, -5.8726], [5.1882, -4.3445, 0.1721], [-3.0117, -5.1516, 2.6711]],
  "species": ["K", "K", "Ca", "Ca", "Hg", "Hg", "O", "O", "O", "O"],
  "frac_coords": [[0.2270, 0.5000, 0.7500], [0.7730, 0.5000, 0.2500], [0.4888, 0.0000, 0.2500], [0.5112, 0.0000, 0.7500], [0.0000, 0.0000, 0.0000], [0.0000, 0.0000, 0.5000], [0.6814, 0.8413, 0.0340], [0.6814, 0.1587, 0.4660], [0.3186, 0.8413, 0.5340], [0.3186, 0.1587, 0.9660]],
  "volume_a3_per_atom": 28.12,
  "spacegroup": "No. 13",
  "formation_energy_uncorrected_mev_per_atom": -1363.9,
  "dft_energy_ev_per_atom": -4.027
}

***

# 20
{
  "formula": "KCaHg2Os",
  "functional": "PBE",
  "state": "relaxed",
  "lattice": [[-4.1870, -4.0436, 0.2251], [4.7191, -4.9074, -0.3762], [0.3851, -0.0752, 5.8119]],
  "species": ["K", "Ca", "Os", "Hg", "Hg"],
  "frac_coords": [[0.0000, 0.5000, 0.0000], [0.0000, 0.0000, 0.0000], [0.5000, 0.5000, 0.5000], [0.0000, 0.0000, 0.5000], [0.5000, 0.0000, 0.0000]],
  "volume_a3_per_atom": 46.27,
  "spacegroup": "No. 123",
  "formation_enthalpy_0k_ev_per_atom": 1.55,
  "dft_energy_ev_per_atom": -1.434
}